Record 1
First-principles (PBE) data for crystalline BaGe2Os at its relaxed geometry, as listed in Alexandria.

Relative energy among the computed polymorphs ... 0.643 eV/atom
ΔH_f (0 K) ... 0.44 eV/atom
Crystal system ... cubic
Symmetry ... Fm-3m (225)
Raw total energy ... -5.16 eV per atom

The structure in POSCAR format:
```
BaGe2Os
1.0
0.000 3.460 3.460
3.460 0.000 3.460
3.460 3.460 0.000
Ba Ge Os
1 2 1
direct
0.000 0.000 0.000 Ba
0.250 0.250 0.250 Ge
0.750 0.750 0.750 Ge
0.500 0.500 0.500 Os
```

---

Record 2
First-principles (PBE) data for crystalline In3HgI3 at its relaxed geometry, as listed in Alexandria.

Formation energy without anion corrections ... -0.3669 eV per atom
Relative energy among the computed polymorphs ... 0.000 eV/atom
Crystal system ... triclinic
Symmetry ... P-1 (2)
Raw total energy ... -2.25 eV per atom

The structure in POSCAR format:
```
In3HgI3
1.0
8.516 0.000 0.000
3.206 8.050 0.000
3.444 -0.100 8.989
In Hg I
6 2 6
direct
0.003 0.221 0.071 In
0.320 0.456 0.263 In
0.341 0.891 0.395 In
0.659 0.109 0.605 In
0.680 0.544 0.737 In
0.997 0.779 0.929 In
0.164 0.837 0.165 Hg
0.836 0.163 0.835 Hg
0.021 0.257 0.402 I
0.309 0.410 0.930 I
0.364 0.910 0.730 I
0.636 0.090 0.270 I
0.691 0.590 0.070 I
0.979 0.743 0.598 I
```

---

Record 3
First-principles (PBE) data for crystalline HgBiBr2 at its relaxed geometry, as listed in Alexandria.

Formation energy without anion corrections ... -0.3269 eV per atom
Relative energy among the computed polymorphs ... 0.000 eV/atom
Crystal system ... tetragonal
Symmetry ... I-42d (122)
Raw total energy ... -2.21 eV per atom

The structure in POSCAR format:
```
HgBiBr2
1.0
-5.152 5.152 3.067
5.152 -5.152 3.067
5.152 5.152 -3.067
Hg Bi Br
2 2 4
direct
0.000 0.000 0.000 Hg
0.750 0.250 0.500 Hg
0.250 0.750 0.500 Bi
0.500 0.500 0.000 Bi
0.255 0.625 0.130 Br
0.375 0.505 0.630 Br
0.495 0.125 0.870 Br
0.875 0.745 0.370 Br
```

---

Record 4
First-principles (PBE) data for crystalline LiNd4Tm3S8 at its relaxed geometry, as listed in Alexandria.

Formation energy without anion corrections ... -1.9535 eV per atom
Crystal system ... trigonal
Symmetry ... R-3m (166)
Raw total energy ... -6.17 eV per atom

The structure in POSCAR format:
```
LiNd4Tm3S8
1.0
3.916 2.261 6.566
-3.916 2.261 6.566
0.000 -4.521 6.566
Li Nd Tm S
1 4 3 8
direct
0.000 0.000 0.000 Li
0.000 0.000 0.500 Nd
0.000 0.500 0.000 Nd
0.500 0.000 0.000 Nd
0.500 0.500 0.500 Nd
0.000 0.500 0.500 Tm
0.500 0.000 0.500 Tm
0.500 0.500 0.000 Tm
0.241 0.241 0.745 S
0.241 0.745 0.241 S
0.255 0.759 0.759 S
0.257 0.257 0.257 S
0.743 0.743 0.743 S
0.745 0.241 0.241 S
0.759 0.255 0.759 S
0.759 0.759 0.255 S
```

---

Record 5
First-principles (PBE) data for crystalline Pr2PPd at its relaxed geometry, as listed in Alexandria.

Relative energy among the computed polymorphs ... 0.467 eV/atom
ΔH_f (0 K) ... -0.52 eV/atom
Crystal system ... trigonal
Symmetry ... R-3m (166)
Raw total energy ... -5.56 eV per atom

The structure in POSCAR format:
```
Pr2PPd
1.0
1.955 1.129 8.946
-1.955 1.129 8.946
0.000 -2.257 8.946
Pr P Pd
2 1 1
direct
0.103 0.103 0.103 Pr
0.897 0.897 0.897 Pr
0.500 0.500 0.500 P
0.000 0.000 0.000 Pd
```

---

Record 6
First-principles (PBE) data for crystalline Mg2Sc3Ir at its relaxed geometry, as listed in Alexandria.

ΔH_f (0 K) ... -0.42 eV/atom
Crystal system ... orthorhombic
Symmetry ... Cmmm (65)
Raw total energy ... -5.59 eV per atom

The structure in POSCAR format:
```
Mg2Sc3Ir
1.0
2.367 -7.103 0.000
2.367 7.103 0.000
0.000 0.000 7.396
Mg Sc Ir
4 6 2
direct
0.000 0.000 0.000 Mg
0.000 0.000 0.500 Mg
0.335 0.665 0.000 Mg
0.665 0.335 0.000 Mg
0.176 0.824 0.287 Sc
0.176 0.824 0.713 Sc
0.500 0.500 0.276 Sc
0.500 0.500 0.724 Sc
0.824 0.176 0.287 Sc
0.824 0.176 0.713 Sc
0.343 0.657 0.500 Ir
0.657 0.343 0.500 Ir
```

---

Record 7
First-principles (PBE) data for crystalline Ce2MgPd at its relaxed geometry, as listed in Alexandria.

Relative energy among the computed polymorphs ... 0.039 eV/atom
ΔH_f (0 K) ... -0.25 eV/atom
Crystal system ... tetragonal
Symmetry ... P4/mmm (123)
Raw total energy ... -4.92 eV per atom

The structure in POSCAR format:
```
Ce2MgPd
1.0
4.309 0.000 0.000
0.000 4.309 0.000
0.000 0.000 4.791
Ce Mg Pd
2 1 1
direct
0.000 0.500 0.000 Ce
0.500 0.000 0.000 Ce
0.000 0.000 0.500 Mg
0.500 0.500 0.500 Pd
```

---

Record 8
First-principles (PBE) data for crystalline Sr4AlGa3 at its relaxed geometry, as listed in Alexandria.

ΔH_f (0 K) ... -0.35 eV/atom
Crystal system ... orthorhombic
Symmetry ... Pmm2 (25)
Raw total energy ... -2.79 eV per atom

The structure in POSCAR format:
```
Sr4AlGa3
1.0
4.492 0.000 0.000
0.000 4.813 0.000
0.000 0.000 11.896
Sr Al Ga
4 1 3
direct
0.000 0.000 0.000 Sr
0.000 0.500 0.495 Sr
0.500 0.000 0.711 Sr
0.500 0.500 0.213 Sr
0.000 0.500 0.799 Al
0.000 0.000 0.296 Ga
0.500 0.000 0.413 Ga
0.500 0.500 0.915 Ga
```

---

Record 9
First-principles (PBE) data for crystalline LaFe2Te at its relaxed geometry, as listed in Alexandria.

Formation energy without anion corrections ... -0.0394 eV per atom
Crystal system ... orthorhombic
Symmetry ... Pmmm (47)
Raw total energy ... -6.29 eV per atom

The structure in POSCAR format:
```
LaFe2Te
1.0
4.133 0.000 0.000
0.000 4.388 0.000
0.000 0.000 5.207
La Fe Te
1 2 1
direct
0.000 0.000 0.000 La
0.500 0.500 0.216 Fe
0.500 0.500 0.784 Fe
0.500 0.000 0.500 Te
```

---

Record 10
First-principles (PBE) data for crystalline Ce2ThPt2 at its relaxed geometry, as listed in Alexandria.

ΔH_f (0 K) ... -0.81 eV/atom
Crystal system ... trigonal
Symmetry ... R-3m (166)
Raw total energy ... -7.09 eV per atom

The structure in POSCAR format:
```
Ce2ThPt2
1.0
2.288 1.321 6.772
-2.288 1.321 6.772
0.000 -2.642 6.772
Ce Th Pt
2 1 2
direct
0.201 0.201 0.201 Ce
0.799 0.799 0.799 Ce
0.000 0.000 0.000 Th
0.413 0.413 0.413 Pt
0.587 0.587 0.587 Pt
```

---

Record 11
First-principles (PBE) data for crystalline CeCd4Hg2 at its relaxed geometry, as listed in Alexandria.

Relative energy among the computed polymorphs ... 0.072 eV/atom
ΔH_f (0 K) ... -0.05 eV/atom
Crystal system ... triclinic
Symmetry ... P-1 (2)
Raw total energy ... -1.51 eV per atom

The structure in POSCAR format:
```
CeCd4Hg2
1.0
5.183 0.000 0.000
-0.546 5.643 0.000
-1.298 -2.067 6.155
Ce Cd Hg
1 4 2
direct
0.000 0.000 0.000 Ce
0.002 0.637 0.327 Cd
0.500 0.500 0.000 Cd
0.500 0.500 0.500 Cd
0.998 0.363 0.673 Cd
0.418 0.003 0.706 Hg
0.582 0.997 0.294 Hg
```